Record 1
A plane-wave DFT calculation with GGA-PBE was carried out for a geometry-optimized YSb2Pd7Pb2 structure.

Cell and atoms, written as extended XYZ:
```
12
Lattice="-0.9253 -0.9619 -3.8730 3.9900 -0.1499 -0.9160 1.0371 -15.0736 2.4157" Properties=species:S:1:pos:R:3 pbc="T T T"
Y 0.0000 0.0000 0.0000
Sb 2.5082 -11.9492 -0.8877
Sb 1.5935 -4.2362 -1.4855
Pd 1.5323 -0.5559 -2.3945
Pd 1.6211 -6.8082 -0.8250
Pd 2.4807 -9.3773 -1.5482
Pd 1.1048 -3.0886 -3.8217
Pd 3.5589 -2.6832 -2.3453
Pd 0.5429 -13.5023 -0.0279
Pd 2.9970 -13.0968 1.4485
Pb 3.1149 -7.0376 -3.2451
Pb 0.9869 -9.1479 0.8719
```

**Crystal system**: monoclinic
**Total magnetization**: 0.0 μB per formula unit
**Final energy**: -5.336 eV/atom
**Symmetry**: C2/m
**Mass density**: 9.69 g cm⁻³
**Uncorrected formation energy**: -5.55 eV per formula unit

=====

Record 2
A plane-wave DFT calculation with GGA-PBE was carried out for a geometry-optimized Co2TcRh structure.

Cell and atoms, written as extended XYZ:
```
4
Lattice="0.0000 2.9396 2.9396 2.9396 0.0000 2.9396 2.9396 2.9396 0.0000" Properties=species:S:1:pos:R:3 pbc="T T T"
Co 1.4698 1.4698 1.4698
Co 4.4093 4.4093 4.4093
Rh 2.9396 2.9396 2.9396
Tc 0.0000 0.0000 0.0000
```

**Crystal system**: cubic
**Total magnetization**: 3.2 μB per formula unit
**Energy of formation**: 0.22 eV per atom
**Final energy**: -7.762 eV/atom
**Symmetry**: Fm-3m
**Mass density**: 10.42 g cm⁻³
**Excess energy over the best structure of this formula in the dataset**: 0.746 eV/f.u.

=====

Record 3
A plane-wave DFT calculation with GGA-PBE was carried out for a geometry-optimized NbTc2Ir structure.

Cell and atoms, written as extended XYZ:
```
4
Lattice="-0.2145 -3.5418 -1.8278 1.7884 -1.6870 3.0590 -3.4869 -0.6546 1.6776" Properties=species:S:1:pos:R:3 pbc="T T T"
Nb -0.9565 -2.9417 1.4544
Ir -0.1072 -1.7709 -0.9139
Tc -1.7435 -0.3273 0.8388
Tc 0.8942 -0.8435 1.5295
```

**Crystal system**: tetragonal
**Total magnetization**: 0.0 μB per formula unit
**Energy of formation**: -0.21 eV per atom
**Final energy**: -10.123 eV/atom
**Symmetry**: P4/mmm
**Mass density**: 13.00 g cm⁻³
**Excess energy over the best structure of this formula in the dataset**: 0.000 eV/f.u.

=====

Record 4
A plane-wave DFT calculation with GGA-PBE was carried out for a geometry-optimized ScZnGa structure.

Cell and atoms, written as extended XYZ:
```
6
Lattice="5.4268 -0.0033 0.0241 1.7179 3.9569 0.0005 1.4728 1.7128 4.9346" Properties=species:S:1:pos:R:3 pbc="T T T"
Sc 3.2383 3.5086 4.2494
Sc 5.1929 2.6594 1.7732
Zn 6.0263 4.6507 3.7360
Zn 2.4064 3.8696 1.4682
Ga 2.5339 1.4631 2.1344
Ga 5.9042 2.3526 4.7131
```

**Crystal system**: orthorhombic
**Total magnetization**: 0.0 μB per formula unit
**Energy of formation**: -0.51 eV per atom
**Final energy**: -4.058 eV/atom
**Symmetry**: Imm2
**Mass density**: 5.65 g cm⁻³

=====

Please write out number 2 again, unchanged.
A plane-wave DFT calculation with GGA-PBE was carried out for a geometry-optimized Co2TcRh structure.

Cell and atoms, written as extended XYZ:
```
4
Lattice="0.0000 2.9396 2.9396 2.9396 0.0000 2.9396 2.9396 2.9396 0.0000" Properties=species:S:1:pos:R:3 pbc="T T T"
Co 1.4698 1.4698 1.4698
Co 4.4093 4.4093 4.4093
Rh 2.9396 2.9396 2.9396
Tc 0.0000 0.0000 0.0000
```

**Crystal system**: cubic
**Total magnetization**: 3.2 μB per formula unit
**Energy of formation**: 0.22 eV per atom
**Final energy**: -7.762 eV/atom
**Symmetry**: Fm-3m
**Mass density**: 10.42 g cm⁻³
**Excess energy over the best structure of this formula in the dataset**: 0.746 eV/f.u.

=====

Q: Which of these has the lowest mass density?
A: ScZnGa

=====

Q: Which of these has the highest mass density?
A: NbTc2Ir

=====

Repeat the second record exactly.
A plane-wave DFT calculation with GGA-PBE was carried out for a geometry-optimized Co2TcRh structure.

Cell and atoms, written as extended XYZ:
```
4
Lattice="0.0000 2.9396 2.9396 2.9396 0.0000 2.9396 2.9396 2.9396 0.0000" Properties=species:S:1:pos:R:3 pbc="T T T"
Co 1.4698 1.4698 1.4698
Co 4.4093 4.4093 4.4093
Rh 2.9396 2.9396 2.9396
Tc 0.0000 0.0000 0.0000
```

**Crystal system**: cubic
**Total magnetization**: 3.2 μB per formula unit
**Energy of formation**: 0.22 eV per atom
**Final energy**: -7.762 eV/atom
**Symmetry**: Fm-3m
**Mass density**: 10.42 g cm⁻³
**Excess energy over the best structure of this formula in the dataset**: 0.746 eV/f.u.